PBE-GGA TaMn2Pd8, optimized geometry; DFT formation energy = -0.309 eV/atom; ΔE to the lowest computed polymorph = 0.0 meV/atom; total energy = -6.83 eV per atom; Fermi-level density of states = 5.7 states/eV/f.u.
1.0
7.0273 -2.0003 0.0000
7.0273 2.0003 0.0000
-1.8066 0.0000 5.9977
Ta Mn Pd
1 2 8
Cartesian
0.0000 0.0000 0.0000 Ta
3.2527 0.0000 2.1083 Mn
8.9954 0.0000 3.8894 Mn
0.5566 0.0000 2.7041 Pd
0.8707 0.0000 5.4918 Pd
3.5978 0.0000 4.8736 Pd
5.9358 0.0000 1.6205 Pd
6.3123 0.0000 4.3772 Pd
8.6502 0.0000 1.1241 Pd
11.3774 0.0000 0.5060 Pd
11.6914 0.0000 3.2936 Pd